## Nb3Ir (PBE)

Data for a relaxed structure of Nb3Ir.

```
Nb3Ir
1.0
-0.682 2.826 -4.285
3.534 -2.876 -2.459
-3.722 -3.248 -1.550
Nb Ir
6 2
direct
0.750 0.000 0.500
0.500 0.250 0.000
0.000 0.500 0.750
0.500 0.750 0.000
0.250 0.000 0.500
0.000 0.500 0.250
0.500 0.500 0.500
0.000 0.000 0.000
```



## ThZrGe2 (PBE)

Data for a relaxed structure of ThZrGe2.

```
ThZrGe2
1.0
-3.655 -1.154 1.208
0.692 -6.831 -4.433
4.534 -5.212 8.740
Ge Zr Th
8 4 4
direct
0.250 0.666 0.306
0.250 0.166 0.194
0.750 0.834 0.806
0.250 0.249 0.548
0.250 0.749 0.952
0.750 0.751 0.452
0.750 0.251 0.048
0.750 0.334 0.694
0.250 0.484 0.104
0.250 0.984 0.396
0.750 0.016 0.604
0.750 0.516 0.896
0.250 0.129 0.858
0.250 0.629 0.642
0.750 0.371 0.358
0.750 0.871 0.142
```



## BeFeNiRh (PBE)

Data for a relaxed structure of BeFeNiRh.

```
BeFeNiRh
1.0
-0.023 -3.976 -0.610
1.048 -1.491 -3.586
3.471 -1.992 -0.414
Fe Be Rh Ni
1 1 1 1
direct
0.000 0.000 0.000
0.500 0.500 0.500
0.750 0.750 0.750
0.250 0.250 0.250
```



## TbPr6Ho5 (PBE)

Data for a relaxed structure of TbPr6Ho5.

```
TbPr6Ho5
1.0
11.298 -0.436 0.000
2.533 4.497 0.000
1.266 2.248 7.759
Pr Ho Tb
6 5 1
direct
0.251 0.916 0.666
0.749 0.417 0.666
0.749 0.084 0.334
0.251 0.583 0.334
0.750 0.750 0.000
0.250 0.250 0.000
0.000 0.667 0.666
0.500 0.500 0.000
0.500 0.167 0.667
0.500 0.833 0.333
0.000 0.333 0.334
0.000 0.000 0.000
```



## Li5Ga3Pd (PBE)

Data for a relaxed structure of Li5Ga3Pd.

```
Li5Ga3Pd
1.0
5.840 -0.248 -0.382
1.360 5.685 -0.382
1.854 1.400 9.897
Li Pd Ga
10 2 6
direct
0.528 0.528 0.643
0.017 0.399 0.329
0.983 0.601 0.671
0.472 0.472 0.357
0.268 0.268 0.842
0.399 0.017 0.329
0.670 0.330 0.000
0.601 0.983 0.671
0.732 0.732 0.158
0.330 0.670 0.000
0.017 0.017 0.748
0.983 0.983 0.252
0.242 0.242 0.101
0.253 0.253 0.565
0.758 0.758 0.899
0.747 0.747 0.435
0.000 0.000 0.000
0.000 0.000 0.500
```



## InPt2Pb2 (PBE)

Data for a relaxed structure of InPt2Pb2.

```
InPt2Pb2
1.0
4.665 0.000 0.000
0.000 4.665 0.000
2.333 2.333 5.869
Pb In Pt
2 1 2
direct
0.250 0.750 0.500
0.750 0.250 0.500
0.000 0.000 0.000
0.611 0.611 0.779
0.389 0.389 0.221
```



## MnSiAs2 (PBE)

Data for a relaxed structure of MnSiAs2.

```
MnSiAs2
1.0
-0.345 -1.211 5.377
-5.122 -1.920 -0.761
4.710 -3.323 -3.282
Mn Si As
2 2 4
direct
0.000 0.000 0.000
0.250 0.750 0.500
0.750 0.250 0.500
0.500 0.500 0.000
0.357 0.375 0.250
0.125 0.643 0.750
0.893 0.875 0.250
0.625 0.107 0.750
```

Properties
Uncorrected formation energy, eV/f.u.: 1.1



## UCuPd6 (PBE)

Data for a relaxed structure of UCuPd6.

```
UCuPd6
1.0
-0.532 3.951 -0.667
-4.461 -0.016 3.469
3.389 1.193 4.362
Cu Pd U
1 6 1
direct
0.500 0.500 0.500
0.000 0.748 0.252
0.000 0.252 0.252
0.000 0.252 0.748
0.500 0.500 0.000
0.000 0.748 0.748
0.500 0.000 0.500
0.500 0.000 0.000
```



| no. | total energy (eV/atom) | total magnetic moment (μB/atom) |
| --- | --- | --- |
| 1 | -10.18 | 0.000 |
| 2 | -6.95 | 0.000 |
| 3 | -6.56 | 1.027 |
| 4 | -4.67 | 0.000 |
| 5 | -2.83 | 0.000 |
| 6 | -4.42 | 0.000 |
| 7 | -5.71 | 0.000 |
| 8 | -6.20 | 0.131 |